Below is an optimized crystal structure of ScCo, with properties calculated at the GGA-PBE level.

a b c (Å): 7.3226 7.3226 7.3226
angles (deg): 90.00 90.00 90.00
Fractional positions:
Sc 0.2169 0.2169 0.2169
Sc 0.2169 0.7831 0.7831
Sc 0.7831 0.2169 0.7831
Sc 0.7831 0.7831 0.2169
Sc 0.7169 0.7169 0.7169
Sc 0.7169 0.2831 0.2831
Sc 0.2831 0.7169 0.2831
Sc 0.2831 0.2831 0.7169
Co 0.3861 0.3861 0.3861
Co 0.3861 0.6139 0.6139
Co 0.6139 0.3861 0.6139
Co 0.6139 0.6139 0.3861
Co 0.8861 0.8861 0.8861
Co 0.8861 0.1139 0.1139
Co 0.1139 0.8861 0.1139
Co 0.1139 0.1139 0.8861

Summary:
* density: 3.51 Mg/m³
* E: -98.49 eV per cell
* SG: No. 217
* DFT formation energy: 1.13 eV/f.u.
* DOS at the Fermi energy: 0.1614 states/eV/atom

Below is an optimized crystal structure of CsPmBr4, with properties calculated at the GGA-PBE level.

a b c (Å): 7.9191 7.7150 9.0709
angles (deg): 93.96 64.12 90.00
Fractional positions:
Cs 0.7932 0.2505 0.4136
Cs 0.2068 0.7495 0.5864
Pm 0.5314 0.7213 0.9372
Pm 0.4686 0.2787 0.0628
Br 0.6951 0.8206 0.6097
Br 0.6182 0.5734 0.2029
Br 0.7481 0.0000 0.0000
Br 0.8211 0.4266 0.7971
Br 0.3049 0.1794 0.3903
Br 0.3818 0.4266 0.7971
Br 0.2519 0.0000 0.0000
Br 0.1789 0.5734 0.2029

Summary:
* excess energy over the best structure of this formula in the dataset: 19 meV/atom
* density: 3.99 Mg/m³
* E: -46.54 eV per cell
* SG: No. 12
* E_form (uncorrected): -1.83 eV per atom
* DOS at the Fermi energy: 0.0000 states/eV/atom

Below is an optimized crystal structure of NaAg5Br8, with properties calculated at the GGA-PBE level.

a b c (Å): 8.2193 8.2193 8.2193
angles (deg): 103.39 103.39 122.47
Fractional positions:
Na 0.2500 0.7500 0.5000
Ag 0.8739 0.3739 0.9832
Ag 0.6261 0.6093 0.4999
Ag 0.3907 0.8907 0.0168
Ag 0.5000 0.5000 0.0000
Ag 0.1093 0.1261 0.5001
Br 0.1182 0.8025 0.1700
Br 0.1975 0.3675 0.3157
Br 0.6712 0.8587 0.3043
Br 0.1413 0.4456 0.8125
Br 0.6331 0.3288 0.1875
Br 0.0518 0.8818 0.6843
Br 0.6325 0.9482 0.8300
Br 0.5544 0.3669 0.6957

Summary:
* excess energy over the best structure of this formula in the dataset: 0 meV/atom
* density: 4.86 Mg/m³
* E: -35.11 eV per cell
* SG: No. 82
* E_form (uncorrected): -0.44 eV per atom
* DOS at the Fermi energy: 1.2274 states/eV/atom

Below is an optimized crystal structure of K2SiW, with properties calculated at the GGA-PBE level.

a b c (Å): 5.2605 5.2605 5.2605
angles (deg): 60.00 60.00 60.00
Fractional positions:
K 0.0000 0.0000 0.0000
K 0.2500 0.2500 0.2500
Si 0.5000 0.5000 0.5000
W 0.7500 0.7500 0.7500

Summary:
* density: 4.68 Mg/m³
* E: -14.85 eV per cell
* SG: No. 216
* E_form (uncorrected): 1.43 eV per atom
* DOS at the Fermi energy: 0.4929 states/eV/atom

Below is an optimized crystal structure of Mn2TlRh, with properties calculated at the GGA-PBE level.

a b c (Å): 4.5235 4.5235 4.5235
angles (deg): 60.00 60.00 60.00
Fractional positions:
Mn 0.0000 0.0000 0.0000
Mn 0.2500 0.2500 0.2500
Rh 0.5000 0.5000 0.5000
Tl 0.7500 0.7500 0.7500

Summary:
* excess energy over the best structure of this formula in the dataset: 46 meV/atom
* density: 10.58 Mg/m³
* E: -27.17 eV per cell
* SG: No. 216
* DFT formation energy: 0.89 eV/f.u.
* DOS at the Fermi energy: 0.4237 states/eV/atom

Below is an optimized crystal structure of Pu2NbSi, with properties calculated at the GGA-PBE level.

a b c (Å): 5.1983 3.6007 3.6007
angles (deg): 90.00 90.00 90.00
Fractional positions:
Nb 0.5000 0.0000 0.0000
Si 0.5000 0.5000 0.5000
Pu 0.0000 0.0000 0.5000
Pu 0.0000 0.5000 0.0000

Summary:
* excess energy over the best structure of this formula in the dataset: 0 meV/atom
* density: 15.00 Mg/m³
* E: -43.82 eV per cell
* SG: No. 123
* E_form (uncorrected): 0.08 eV per atom
* DOS at the Fermi energy: 1.7394 states/eV/atom

Below is an optimized crystal structure of Ce2Cd3Bi3, with properties calculated at the GGA-PBE level.

a b c (Å): 5.1238 4.7714 9.0339
angles (deg): 90.00 90.00 90.00
Fractional positions:
Ce 0.0000 0.0000 0.7443
Ce 0.0000 0.0000 0.2557
Cd 0.5000 0.5000 0.7640
Cd 0.5000 0.5000 0.2360
Cd 0.5000 0.0000 0.0000
Bi 0.5000 0.0000 0.5000
Bi 0.0000 0.5000 0.0000
Bi 0.0000 0.5000 0.5000

Summary:
* density: 9.36 Mg/m³
* E: -29.57 eV per cell
* SG: No. 47
* DFT formation energy: -3.31 eV/f.u.
* DOS at the Fermi energy: 1.4954 states/eV/atom

Below is an optimized crystal structure of NaNd2Er, with properties calculated at the GGA-PBE level.

a b c (Å): 3.5614 3.5614 13.0244
angles (deg): 82.14 82.14 60.00
Fractional positions:
Na 0.0000 0.0000 0.0000
Nd 0.0924 0.0924 0.7228
Nd 0.9076 0.9076 0.2772
Er 0.5000 0.5000 0.5000

Summary:
* excess energy over the best structure of this formula in the dataset: 28 meV/atom
* density: 5.63 Mg/m³
* E: -14.91 eV per cell
* SG: No. 166
* DFT formation energy: 0.51 eV/f.u.
* DOS at the Fermi energy: 1.1856 states/eV/atom

Below is an optimized crystal structure of HfTaTiVGa, with properties calculated at the GGA-PBE level.

a b c (Å): 2.9406 4.6680 12.9524
angles (deg): 90.00 102.16 90.00
Fractional positions:
Ti 0.7556 0.0000 0.2668
Ti 0.7556 0.5000 0.7668
V 0.2552 0.0000 0.8477
V 0.2552 0.5000 0.3477
Hf 0.9483 0.0000 0.0391
Hf 0.9483 0.5000 0.5391
Ga 0.4216 0.0000 0.4549
Ga 0.4216 0.5000 0.9549
Ta 0.3862 0.0000 0.6663
Ta 0.3862 0.5000 0.1663

Summary:
* excess energy over the best structure of this formula in the dataset: 131 meV/atom
* density: 10.09 Mg/m³
* E: -84.28 eV per cell
* SG: No. 8
* DFT formation energy: -0.30 eV/f.u.
* DOS at the Fermi energy: 1.1066 states/eV/atom

Below is an optimized crystal structure of Li2ZrRu2, with properties calculated at the GGA-PBE level.

a b c (Å): 3.3337 3.3337 7.4090
angles (deg): 77.00 77.00 90.00
Fractional positions:
Ru 0.3973 0.3973 0.2055
Ru 0.6027 0.6027 0.7945
Zr 0.0000 0.0000 0.0000
Li 0.7500 0.2500 0.5000
Li 0.2500 0.7500 0.5000

Summary:
* excess energy over the best structure of this formula in the dataset: 52 meV/atom
* density: 6.54 Mg/m³
* E: -29.98 eV per cell
* SG: No. 139
* DFT formation energy: 0.95 eV/f.u.
* DOS at the Fermi energy: 1.4935 states/eV/atom

Below is an optimized crystal structure of HoCuPt3, with properties calculated at the GGA-PBE level.

a b c (Å): 5.1516 6.3538 6.3538
angles (deg): 120.00 90.00 90.00
Fractional positions:
Ho 0.2500 0.3335 0.6665
Ho 0.7500 0.6665 0.3335
Cu 0.0000 0.0000 0.0000
Cu 0.5000 0.0000 0.0000
Pt 0.2500 0.8061 0.1939
Pt 0.7500 0.1939 0.8061
Pt 0.2500 0.8060 0.6123
Pt 0.7500 0.1940 0.3877
Pt 0.2500 0.3877 0.1940
Pt 0.7500 0.6123 0.8060

Summary:
* excess energy over the best structure of this formula in the dataset: 0 meV/atom
* density: 15.00 Mg/m³
* E: -59.48 eV per cell
* SG: No. 194
* DFT formation energy: -2.94 eV/f.u.
* DOS at the Fermi energy: 0.2290 states/eV/atom

Below is an optimized crystal structure of La2Y7Tm4, with properties calculated at the GGA-PBE level.

a b c (Å): 6.1031 6.1031 13.3083
angles (deg): 90.00 90.00 120.00
Fractional positions:
La 0.6667 0.3333 0.0000
La 0.3333 0.6667 0.0000
Y 0.0000 0.6447 0.7800
Y 0.0000 0.3553 0.2200
Y 0.0000 0.0000 0.0000
Y 0.6447 0.0000 0.7800
Y 0.3553 0.0000 0.2200
Y 0.6447 0.6447 0.2200
Y 0.3553 0.3553 0.7800
Tm 0.0000 0.0000 0.6041
Tm 0.0000 0.0000 0.3959
Tm 0.6667 0.3333 0.5000
Tm 0.3333 0.6667 0.5000

Summary:
* density: 6.10 Mg/m³
* E: -70.27 eV per cell
* SG: No. 162
* DFT formation energy: 2.72 eV/f.u.
* DOS at the Fermi energy: 1.6332 states/eV/atom